w:
Here is Li2Cr2FeO6 after structural relaxation from Alexandria. Energies are from GGA+U. Values from VASP.

Calculated values
**ρ**: 4.0 g/cm³
**Space group**: P-1, No. 2
**Calculated volume**: 335 Å³/cell

Geometry as Quantum ESPRESSO input:
```
&SYSTEM
  ibrav = 0, nat = 33, ntyp = 4
/
ATOMIC_SPECIES
Li 6.94 Li.upf
Cr 52.00 Cr.upf
Fe 55.84 Fe.upf
O 16.00 O.upf
CELL_PARAMETERS angstrom
6.674 0.000 0.000
0.786 6.648 0.000
2.613 2.350 7.540
ATOMIC_POSITIONS angstrom
Li 1.011 1.912 2.506
Li 4.316 4.931 5.007
Li 2.329 1.121 0.015
Li 7.744 7.877 7.525
Li 5.757 4.068 2.533
Li 9.062 7.086 5.034
Cr 1.108 5.928 1.260
Cr 3.663 2.281 3.765
Cr 5.063 7.514 6.279
Cr 5.010 1.485 1.261
Cr 6.410 6.717 3.775
Cr 8.965 3.071 6.280
Fe 1.700 4.499 3.770
Fe 3.050 3.733 1.265
Fe 7.023 5.266 6.275
O 1.163 4.024 2.013
O 3.183 7.829 6.887
O 1.799 2.610 4.366
O 4.165 2.734 5.689
O 3.574 4.182 3.197
O 2.980 5.629 0.515
O 4.539 7.034 4.504
O 3.123 1.812 1.857
O 5.130 5.608 6.854
O 4.943 3.391 0.686
O 6.950 7.186 5.683
O 5.535 1.965 3.036
O 7.093 3.370 7.025
O 6.499 4.816 4.343
O 5.908 6.264 1.852
O 8.274 6.388 3.174
O 6.890 1.170 0.653
O 8.910 4.975 5.527
```

=====

x:
Here is Li2Cr2FeO6 after structural relaxation from Alexandria. Energies are from GGA+U. Values from VASP.

Calculated values
**ρ**: 3.9 g/cm³
**Space group**: Cmce, No. 64
**Calculated volume**: 229 Å³/cell

Geometry as Quantum ESPRESSO input:
```
&SYSTEM
  ibrav = 0, nat = 22, ntyp = 4
/
ATOMIC_SPECIES
Li 6.94 Li.upf
Cr 52.00 Cr.upf
Fe 55.84 Fe.upf
O 16.00 O.upf
CELL_PARAMETERS angstrom
4.420 -2.555 0.000
4.420 2.555 0.000
0.000 0.000 10.155
ATOMIC_POSITIONS angstrom
Li 2.210 0.536 2.539
Li 2.210 -0.536 7.617
Li 6.630 0.536 2.539
Li 6.630 -0.536 7.617
Cr 1.453 0.000 0.000
Cr 2.967 0.000 5.078
Cr 5.873 0.000 5.078
Cr 7.386 0.000 0.000
Fe 0.000 0.000 5.078
Fe 4.420 0.000 0.000
O 1.487 0.821 6.148
O 2.932 0.821 9.085
O 4.420 1.620 0.989
O 4.420 0.935 6.067
O 1.487 -0.821 4.007
O 2.932 -0.821 1.071
O 5.907 0.821 9.085
O 7.352 0.821 6.148
O 4.420 -0.935 4.089
O 4.420 -1.620 9.166
O 5.907 -0.821 1.071
O 7.352 -0.821 4.007
```

=====

w (8.1 kJ/mol of atoms below the next structure)

=====

w:
Here is Li2CrFe3O8 after structural relaxation from Alexandria. Energies are from GGA+U. Values from VASP.

Calculated values
**ρ**: 4.3 g/cm³
**DOS(E_F)**: 0.208 states/eV per atom
**Space group**: Cmc2_1, No. 36
**Calculated volume**: 278 Å³/cell

Geometry as Quantum ESPRESSO input:
```
&SYSTEM
  ibrav = 0, nat = 28, ntyp = 4
/
ATOMIC_SPECIES
Li 6.94 Li.upf
Cr 52.00 Cr.upf
Fe 55.84 Fe.upf
O 16.00 O.upf
CELL_PARAMETERS angstrom
2.923 -5.015 0.000
2.923 5.015 0.000
0.000 0.000 9.473
ATOMIC_POSITIONS angstrom
Li 2.923 5.008 4.736
Li 2.923 1.686 5.679
Li 2.923 -1.686 0.943
Li 2.923 -5.008 0.000
Cr 2.923 1.700 0.092
Cr 2.923 -1.700 4.828
Fe 2.923 3.304 2.676
Fe 1.493 0.817 2.670
Fe 1.493 -0.817 7.406
Fe 4.354 0.817 2.670
Fe 4.354 -0.817 7.406
Fe 2.923 -3.304 7.413
O 2.923 4.995 1.776
O 1.642 2.423 1.515
O 1.403 0.851 8.471
O 2.923 3.375 8.506
O 1.403 -0.851 3.735
O 2.923 1.665 3.668
O 4.205 2.423 1.515
O 2.923 0.169 1.417
O 2.923 -0.169 6.153
O 1.642 -2.423 6.252
O 2.923 -1.665 8.405
O 4.444 0.851 8.471
O 2.923 -3.375 3.770
O 4.444 -0.851 3.735
O 4.205 -2.423 6.252
O 2.923 -4.995 6.512
```

=====

x:
Here is Li2CrFe3O8 after structural relaxation from Alexandria. Energies are from GGA+U. Values from VASP.

Calculated values
**ρ**: 4.1 g/cm³
**DOS(E_F)**: 0.261 states/eV per atom
**Space group**: R-3m, No. 166
**Calculated volume**: 145 Å³/cell

Geometry as Quantum ESPRESSO input:
```
&SYSTEM
  ibrav = 0, nat = 14, ntyp = 4
/
ATOMIC_SPECIES
Li 6.94 Li.upf
Cr 52.00 Cr.upf
Fe 55.84 Fe.upf
O 16.00 O.upf
CELL_PARAMETERS angstrom
2.954 1.705 4.791
-2.954 1.705 4.791
0.000 -3.411 4.791
ATOMIC_POSITIONS angstrom
Li 0.000 0.000 1.718
Li 0.000 0.000 12.656
Cr 0.000 0.000 7.187
Fe -1.477 -0.853 4.791
Fe -1.477 0.853 9.582
Fe 0.000 1.705 4.791
O 0.000 0.000 3.755
O 0.000 -1.523 5.900
O -1.319 0.761 5.900
O -1.319 -0.761 8.474
O 1.319 0.761 5.900
O 1.319 -0.761 8.474
O 0.000 1.523 8.474
O 0.000 0.000 10.619
```

=====

x (2.7 kJ/mol of atoms below the next structure)